First-principles (PBE) data for ZrPa2GaN5 after structural relaxation, as listed in Alexandria via LeMat-Bulk.

Cell: 3.325 7.040 10.167 Å, 90.00 90.00 103.66°
Sites, in units of the cell vectors:
Zr  0.793  0.586  0.498
Zr  0.207  0.414  0.998
Pa  0.867  0.733  0.788
Pa  0.123  0.246  0.693
Pa  0.133  0.267  0.288
Pa  0.877  0.754  0.193
Ga  0.510  0.021  0.979
Ga  0.490  0.979  0.479
N  0.363  0.726  0.016
N  0.693  0.387  0.847
N  0.491  0.983  0.786
N  0.291  0.582  0.655
N  0.952  0.905  0.561
N  0.637  0.274  0.516
N  0.307  0.613  0.347
N  0.509  0.017  0.286
N  0.709  0.418  0.155
N  0.048  0.095  0.061

## Properties
E_form (uncorrected) (eV/atom): -1.2350
Calculated density (g/cm3): 10.0
V (A^3/atom): 12.850

***

First-principles (PBE) data for GaPb2N after structural relaxation, as listed in Alexandria via LeMat-Bulk.

Cell: 6.151 6.151 7.017 Å, 64.00 64.00 90.00°
Sites, in units of the cell vectors:
Pb  0.564  0.125  0.250
Pb  0.186  0.625  0.250
Pb  0.375  0.436  0.750
Pb  0.875  0.814  0.750
Ga  0.000  0.000  0.000
Ga  0.750  0.250  0.500
N  0.500  0.500  0.000
N  0.250  0.750  0.500

## Properties
Excess energy over the best structure of this formula in the dataset (meV/atom): 0
E_form (uncorrected) (eV/atom): 0.5452
Calculated density (g/cm3): 7.9
V (A^3/atom): 26.047

***

First-principles (PBE) data for GaPb2N after structural relaxation, as listed in Alexandria via LeMat-Bulk.

Cell: 4.945 4.945 4.945 Å, 60.00 60.00 60.00°
Sites, in units of the cell vectors:
Pb  0.250  0.250  0.250
Pb  0.750  0.750  0.750
Ga  0.500  0.500  0.500
N  0.000  0.000  0.000

## Properties
Excess energy over the best structure of this formula in the dataset (meV/atom): 424
E_form (uncorrected) (eV/atom): 0.9688
Calculated density (g/cm3): 9.7
V (A^3/atom): 21.378

***

First-principles (PBE) data for Ga3Pb3N5 after structural relaxation, as listed in Alexandria via LeMat-Bulk.

Cell: 6.056 7.522 8.760 Å, 102.08 99.15 96.36°
Sites, in units of the cell vectors:
Ga  0.902  0.310  0.966
Ga  0.098  0.690  0.034
Ga  0.702  0.999  0.603
Ga  0.298  0.001  0.397
Ga  0.127  0.910  0.732
Ga  0.873  0.090  0.268
Pb  0.757  0.482  0.636
Pb  0.243  0.518  0.364
Pb  0.634  0.846  0.893
Pb  0.366  0.154  0.107
Pb  0.747  0.692  0.308
Pb  0.253  0.308  0.692
N  0.958  0.139  0.767
N  0.042  0.861  0.233
N  0.857  0.768  0.588
N  0.143  0.232  0.412
N  0.816  0.536  0.901
N  0.184  0.464  0.099
N  0.376  0.008  0.629
N  0.624  0.992  0.371
N  0.258  0.848  0.925
N  0.742  0.152  0.075

## Properties
E_form (uncorrected) (eV/atom): 0.2057
Calculated density (g/cm3): 7.9
V (A^3/atom): 17.316

***

Among the records above, which one has the highest V? number 2